No. 1
# P2WSe

A relaxed P2WSe crystal (PBE, Alexandria via LeMat-Bulk).

Calculated values
Energy relative to the elements, uncorrected ... 1.81 eV/f.u.

Structure (CIF):
```
data_P2WSe
_cell_length_a 5.741
_cell_length_b 5.741
_cell_length_c 10.817
_cell_angle_alpha 90.00
_cell_angle_beta 90.00
_cell_angle_gamma 90.00
_space_group_name_H-M_alt 'I -4 2 d'
_space_group_IT_number 122
_space_group_name_Hall 'I -4 2bw'
loop_
_atom_site_label
_atom_site_type_symbol
_atom_site_fract_x
_atom_site_fract_y
_atom_site_fract_z
P1 P 0.211 0.250 0.125
W1 W 0.000 0.000 0.000
Se1 Se 0.000 0.000 0.500
```

=====

No. 2
# MnIr2Pd

A relaxed MnIr2Pd crystal (PBE, Alexandria via LeMat-Bulk).

Calculated values
DFT formation energy ... -0.212 eV/f.u.

Structure (CIF):
```
data_MnIr2Pd
_cell_length_a 2.7269
_cell_length_b 2.7269
_cell_length_c 26.2908
_cell_angle_alpha 90.00
_cell_angle_beta 90.00
_cell_angle_gamma 120.00
_space_group_name_H-M_alt 'R -3 m'
_space_group_IT_number 166
_space_group_name_Hall '-R 3 2"'
loop_
_atom_site_label
_atom_site_type_symbol
_atom_site_fract_x
_atom_site_fract_y
_atom_site_fract_z
Mn1 Mn 0.0000 0.0000 0.0000
Ir1 Ir 0.0000 0.0000 0.2562
Pd1 Pd 0.0000 0.0000 0.5000
```

=====

No. 3
# Ru2Se

A relaxed Ru2Se crystal (PBE, Alexandria via LeMat-Bulk).

Calculated values
Energy relative to the elements, uncorrected ... 0.88 eV/f.u.
Excess energy over the best structure of this formula in the dataset ... 231.5 meV per atom

Structure (CIF):
```
data_Ru2Se
_cell_length_a 5.752
_cell_length_b 5.752
_cell_length_c 5.752
_cell_angle_alpha 90.00
_cell_angle_beta 90.00
_cell_angle_gamma 90.00
_space_group_name_H-M_alt 'F m -3 m'
_space_group_IT_number 225
_space_group_name_Hall '-F 4 2 3'
loop_
_atom_site_label
_atom_site_type_symbol
_atom_site_fract_x
_atom_site_fract_y
_atom_site_fract_z
Ru1 Ru 0.250 0.250 0.250
Se1 Se 0.000 0.000 0.000
```

=====

no.,size of the total moment (μB/f.u.)
1,0.00
2,1.95
3,0.00